Entry 1:
The following is a DFT calculation (GGA-PBE) of In2HgBiRh after structural relaxation.

Lattice parameters (Å, degrees): 5.1765 5.1765 5.3562 90.00 90.00 90.00
Space group P4/mmm (No. 123)
Unique sites:
1 In 0.0000 0.5000 0.0000 (multiplicity 2)
2 Hg 0.0000 0.0000 0.5000 (multiplicity 1)
3 Bi 0.5000 0.5000 0.5000 (multiplicity 1)
4 Rh 0.5000 0.5000 0.0000 (multiplicity 1)

Values from the calculation:
Calculated formation energy, meV/atom: -26
N(E_F), states/eV per cell: 3.6



Entry 2:
The following is a DFT calculation (GGA-PBE) of In2HgBiRu after structural relaxation.

Lattice parameters (Å, degrees): 5.7973 5.7973 5.6844 90.00 90.00 90.00
Space group P4/mmm (No. 123)
Unique sites:
1 In 0.0000 0.5000 0.0000 (multiplicity 2)
2 Hg 0.0000 0.0000 0.5000 (multiplicity 1)
3 Bi 0.0000 0.0000 0.0000 (multiplicity 1)
4 Ru 0.5000 0.5000 0.5000 (multiplicity 1)

Values from the calculation:
Calculated formation energy, meV/atom: 1406
N(E_F), states/eV per cell: 5.9



Entry 3:
The following is a DFT calculation (GGA-PBE) of In2HgBiRu after structural relaxation.

Lattice parameters (Å, degrees): 5.2383 5.2383 5.2233 90.00 90.00 90.00
Space group P4/mmm (No. 123)
Unique sites:
1 In 0.0000 0.5000 0.0000 (multiplicity 2)
2 Hg 0.0000 0.0000 0.5000 (multiplicity 1)
3 Bi 0.5000 0.5000 0.5000 (multiplicity 1)
4 Ru 0.5000 0.5000 0.0000 (multiplicity 1)

Values from the calculation:
Calculated formation energy, meV/atom: 114
N(E_F), states/eV per cell: 4.0



Entry 4:
The following is a DFT calculation (GGA-PBE) of In4HgBiS8 after structural relaxation.

Lattice parameters (Å, degrees): 7.9172 7.9172 19.7121 90.00 90.00 120.00
Space group R3m (No. 160, hexagonal axes)
Unique sites:
1 In 0.0000 0.0000 0.0000 (multiplicity 3)
2 In 0.1681 0.3362 0.2073 (multiplicity 9)
3 Hg 0.0000 0.0000 0.7452 (multiplicity 3)
4 Bi 0.0000 0.0000 0.3769 (multiplicity 3)
5 S 0.0000 0.0000 0.1352 (multiplicity 3)
6 S 0.0000 0.0000 0.6125 (multiplicity 3)
7 S 0.0188 0.5094 0.1325 (multiplicity 9)
8 S 0.1741 0.3481 0.9491 (multiplicity 9)

Values from the calculation:
Total DFT energy (no corrections), eV/atom: -3.871
N(E_F), states/eV per cell: 6.5